(1)
This record from Alexandria via LeMat-Bulk describes an optimized crystal structure of NaGaHPb2. The functional is PBE.

Volume ... 22.4 Å³ per atom
VASP energy ... -2.915 eV per atom
Symmetry ... P4/mmm (123)
Crystal system ... tetragonal

Cell lengths 4.956, 4.956, 4.556 Å; angles 90.00, 90.00, 90.00 degrees
Sites, in units of the cell vectors:
Na1 0.000 0.000 0.000
Ga1 0.500 0.500 0.000
H1 0.000 0.000 0.500
Pb1 0.000 0.500 0.500
Pb2 0.500 0.000 0.500



(2)
This record from Alexandria via LeMat-Bulk describes an optimized crystal structure of Na2GaH6Pd. The functional is PBE.

Volume ... 10.7 Å³ per atom
VASP energy ... -3.192 eV per atom
Symmetry ... I4mm (107)
Crystal system ... tetragonal

Cell lengths 5.803, 5.803, 5.803 Å; angles 131.71, 131.71, 70.69 degrees
Sites, in units of the cell vectors:
Na1 0.000 0.500 0.500
Na2 0.500 0.000 0.500
Ga1 0.251 0.251 0.000
H1 0.423 0.423 0.000
H2 0.455 0.455 0.509
H3 0.455 0.946 0.000
H4 0.946 0.455 0.000
H5 0.946 0.946 0.000
H6 0.946 0.946 0.491
Pd1 0.756 0.756 0.000



(3)
This record from Alexandria via LeMat-Bulk describes an optimized crystal structure of Na2GaH6Pt. The functional is PBE.

Volume ... 10.6 Å³ per atom
VASP energy ... -3.371 eV per atom
Symmetry ... C2/m (12)
Crystal system ... monoclinic

Cell lengths 5.276, 5.276, 5.311 Å; angles 119.67, 119.67, 89.99 degrees
Sites, in units of the cell vectors:
Na1 0.250 0.750 0.000
Na2 0.750 0.250 0.000
Ga1 0.000 0.000 0.500
H1 0.268 0.268 0.499
H2 0.268 0.732 0.500
H3 0.270 0.270 0.037
H4 0.730 0.730 0.963
H5 0.732 0.268 0.500
H6 0.732 0.732 0.501
Pt1 0.500 0.500 0.500